BaAcAs PBE-GGA relaxed; spin magnetization = 0.00 μB per cell; DFT formation energy = -0.697 eV/atom; offset from the most stable computed form = 0.36 eV/f.u.; crystal system = cubic
1.0
-4.007 -1.687 3.234
1.112 -1.742 5.009
-1.455 2.975 4.289
Ba Ac As
1 1 1
Direct
0.500 0.500 0.500
0.000 0.000 0.000
0.250 0.250 0.250